No. 1
Compound: Sc4Se3N
Source: Alexandria
Functional: PBE
Structure: relaxed

Computed properties:
Fermi-level density of states   0.435 states/eV/atom
Crystal system   orthorhombic
Theoretical density   4.162 g/cm³
Formation energy (no corrections)   -1.4673 eV/atom

Cell lengths 5.248, 7.202, 9.093 Å; angles 90.00, 90.00, 90.00 degrees
Element x y z (fractional)
Sc: 0.066 0.859 0.000
Sc: 0.583 0.141 0.000
Sc: 0.064 0.249 0.212
Sc: 0.564 0.751 0.288
Sc: 0.083 0.859 0.500
Sc: 0.566 0.141 0.500
Sc: 0.564 0.751 0.712
Sc: 0.064 0.249 0.788
Se: 0.568 0.773 0.000
Se: 0.065 0.652 0.260
Se: 0.565 0.348 0.240
Se: 0.068 0.227 0.500
Se: 0.565 0.348 0.760
Se: 0.065 0.652 0.740
N: 0.040 0.147 0.000
N: 0.540 0.853 0.500

---

No. 2
Compound: As3PtF
Source: Alexandria
Functional: PBE
Structure: relaxed

Computed properties:
Fermi-level density of states   1.746 states/eV/atom
Crystal system   cubic
Theoretical density   6.063 g/cm³
Formation energy (no corrections)   0.4629 eV/atom

Cell lengths 4.935, 4.935, 4.935 Å; angles 90.00, 90.00, 90.00 degrees
Each line ends with the local moment (μB).
Element x y z (fractional)
As: 0.000 0.500 0.000  0.14
As: 0.000 0.000 0.500  0.26
As: 0.500 0.000 0.000  0.08
Pt: 0.000 0.000 0.000  0.20
F: 0.500 0.500 0.500  0.23

---

No. 3
Compound: Te4Au2Se
Source: Alexandria
Functional: PBE
Structure: relaxed

Computed properties:
Fermi-level density of states   0.315 states/eV/atom
Crystal system   monoclinic
Theoretical density   7.747 g/cm³
Formation energy (no corrections)   0.0181 eV/atom

Cell lengths 7.948, 7.948, 9.480 Å; angles 126.56, 118.81, 73.43 degrees
Element x y z (fractional)
Te: 0.946 0.123 0.285
Te: 0.304 0.627 0.215
Te: 0.838 0.661 0.715
Te: 0.882 0.082 0.628
Te: 0.453 0.254 0.372
Te: 0.412 0.089 0.785
Te: 0.368 0.668 0.871
Te: 0.797 0.496 0.128
Au: 0.625 0.375 0.750
Au: 0.625 0.875 0.250
Au: 0.625 0.375 0.250
Au: 0.125 0.375 0.750
Se: 0.232 0.732 0.500
Se: 0.018 0.018 0.000

---

No. 4
Compound: Y5Ho2Th3
Source: Alexandria
Functional: PBE
Structure: relaxed

Computed properties:
ΔH_f (0 K)   0.037 eV per atom
Fermi-level density of states   1.470 states/eV/atom
Crystal system   monoclinic
Theoretical density   7.608 g/cm³

Cell lengths 5.042, 6.167, 12.922 Å; angles 61.08, 78.75, 65.87 degrees
Element x y z (fractional)
Y: 0.000 0.000 0.000
Y: 0.200 0.001 0.599
Y: 0.800 0.999 0.401
Y: 0.699 0.500 0.102
Y: 0.301 0.500 0.898
Ho: 0.402 0.993 0.203
Ho: 0.598 0.007 0.797
Th: 0.500 0.500 0.500
Th: 0.097 0.505 0.300
Th: 0.903 0.495 0.700

---

| no. | final energy (eV/atom) |
| --- | --- |
| 1 | -6.980 |
| 2 | -3.909 |
| 3 | -3.211 |
| 4 | -6.336 |